1.
PBE LaTh2In3, relaxed; formation energy from the elements = -0.357 eV per atom; size of the total moment = 0.0 μB/f.u.; SG = No. 123
1.0
3.544 0.000 0.000
0.000 3.544 0.000
0.000 0.000 13.890
La Th In
1 2 3
direct
0.000 0.000 0.000
0.000 0.000 0.335
0.000 0.000 0.665
0.500 0.500 0.170
0.500 0.500 0.500
0.500 0.500 0.830

***

2.
PBE La12ThIn3, relaxed; formation energy from the elements = -0.216 eV per atom; size of the total moment = 0.0 μB/f.u.; SG = No. 123
1.0
5.091 0.000 0.000
0.000 5.091 0.000
0.000 0.000 20.397
La Th In
12 1 3
direct
0.000 0.000 0.000
0.000 0.000 0.246
0.000 0.000 0.500
0.000 0.000 0.754
0.000 0.500 0.124
0.000 0.500 0.374
0.000 0.500 0.626
0.000 0.500 0.876
0.500 0.000 0.124
0.500 0.000 0.374
0.500 0.000 0.626
0.500 0.000 0.876
0.500 0.500 0.500
0.500 0.500 0.000
0.500 0.500 0.247
0.500 0.500 0.753

***

3.
PBE La14ThIn, relaxed; formation energy from the elements = -0.053 eV per atom; size of the total moment = 0.0 μB/f.u.; SG = No. 38
1.0
10.359 0.000 0.000
0.000 5.194 5.190
0.000 -5.194 5.190
La Th In
14 1 1
direct
0.000 0.000 0.000
0.000 0.499 0.499
0.000 0.499 0.999
0.000 0.999 0.499
0.258 0.252 0.746
0.258 0.746 0.252
0.258 0.746 0.746
0.259 0.252 0.252
0.500 0.499 0.999
0.500 0.999 0.499
0.741 0.252 0.252
0.742 0.252 0.746
0.742 0.746 0.252
0.742 0.746 0.746
0.500 0.999 0.999
0.500 0.499 0.499

***

4.
PBE La2ThIn, relaxed; formation energy from the elements = -0.231 eV per atom; size of the total moment = 0.0 μB/f.u.; SG = No. 123
1.0
3.672 0.000 0.000
0.000 3.672 0.000
0.000 0.000 9.537
La Th In
2 1 1
direct
0.000 0.000 0.237
0.000 0.000 0.763
0.500 0.500 0.500
0.500 0.500 0.000

***

5.
PBE La2ThIn3, relaxed; formation energy from the elements = -0.429 eV per atom; size of the total moment = 0.0 μB/f.u.; SG = No. 123
1.0
3.574 0.000 0.000
0.000 3.574 0.000
0.000 0.000 13.920
La Th In
2 1 3
direct
0.000 0.000 0.169
0.000 0.000 0.831
0.000 0.000 0.500
0.500 0.500 0.000
0.500 0.500 0.336
0.500 0.500 0.664

***

6.
PBE La2ThIn, relaxed; formation energy from the elements = -0.052 eV per atom; size of the total moment = 0.0 μB/f.u.; SG = No. 225
1.0
0.000 4.003 4.003
4.003 0.000 4.003
4.003 4.003 0.000
La Th In
2 1 1
direct
0.250 0.250 0.250
0.750 0.750 0.750
0.000 0.000 0.000
0.500 0.500 0.500

***

Which formula does entry 3 have? La14ThIn

***

The highest formation energy from the elements belongs to which entry? number 6

***

Look up the size of the total moment of the first one. 0.0 μB/f.u.